{
  "formula": "Li9Bi11Pb4",
  "functional": "PBE",
  "state": "optimized geometry",
  "cell": [[-2.077, -2.765, -0.266], [8.061, -6.879, 8.543], [-7.498, 4.638, 10.367]],
  "species": ["Pb", "Pb", "Pb", "Pb", "Li", "Li", "Li", "Li", "Li", "Li", "Li", "Li", "Li", "Bi", "Bi", "Bi", "Bi", "Bi", "Bi", "Bi", "Bi", "Bi", "Bi", "Bi"],
  "frac_coords": [[0.500, 0.561, 0.731], [0.500, 0.731, 0.561], [0.500, 0.439, 0.269], [0.500, 0.269, 0.439], [0.500, 0.850, 0.362], [0.500, 0.362, 0.850], [0.500, 0.985, 0.804], [0.500, 0.638, 0.150], [0.500, 0.150, 0.638], [0.500, 0.500, 0.500], [0.500, 0.804, 0.985], [0.500, 0.196, 0.015], [0.500, 0.015, 0.196], [0.000, 0.051, 0.392], [0.000, 0.359, 0.641], [0.000, 0.608, 0.949], [0.000, 0.792, 0.792], [0.000, 0.208, 0.208], [0.000, 0.641, 0.359], [0.000, 0.174, 0.826], [0.000, 0.392, 0.051], [0.000, 0.000, 0.000], [0.000, 0.826, 0.174], [0.000, 0.949, 0.608]],
  "density_kg_m3": 8246,
  "dos_at_fermi_per_ev_atom": 0.2988,
  "dft_energy_ev_per_cell": -80.05,
  "ef_kj_per_mol_atoms": -21.3
}

***

{
  "formula": "Li5Bi4Pb",
  "functional": "PBE",
  "state": "optimized geometry",
  "cell": [[-1.052, -2.475, -2.114], [3.235, -1.035, -0.398], [-2.077, -12.528, 15.703]],
  "species": ["Bi", "Bi", "Bi", "Bi", "Li", "Li", "Li", "Li", "Li", "Pb"],
  "frac_coords": [[0.000, 0.000, 0.397], [0.000, 0.000, 0.807], [0.000, 0.000, 0.193], [0.000, 0.000, 0.603], [0.500, 0.500, 0.296], [0.500, 0.500, 0.704], [0.500, 0.500, 0.097], [0.500, 0.500, 0.500], [0.500, 0.500, 0.903], [0.000, 0.000, 0.000]],
  "density_kg_m3": 7576,
  "dos_at_fermi_per_ev_atom": 0.3337,
  "dft_energy_ev_per_cell": -32.43,
  "ef_kj_per_mol_atoms": -35.0
}

***

{
  "formula": "LiBi2Pb",
  "functional": "PBE",
  "state": "optimized geometry",
  "cell": [[3.405, 0.000, 0.000], [0.000, 3.405, 0.000], [0.000, 0.000, 9.641]],
  "species": ["Li", "Bi", "Bi", "Pb"],
  "frac_coords": [[0.500, 0.500, 0.000], [0.000, 0.000, 0.211], [0.000, 0.000, 0.789], [0.500, 0.500, 0.500]],
  "density_kg_m3": 9392,
  "dos_at_fermi_per_ev_atom": 0.3340,
  "dft_energy_ev_per_cell": -14.01,
  "ef_kj_per_mol_atoms": -15.0
}

***

{
  "formula": "Li7Bi4Pb",
  "functional": "PBE",
  "state": "optimized geometry",
  "cell": [[5.242, 0.000, 0.000], [2.621, 8.850, -0.170], [2.621, 0.094, 6.047]],
  "species": ["Bi", "Bi", "Bi", "Bi", "Li", "Li", "Li", "Li", "Li", "Li", "Li", "Pb"],
  "frac_coords": [[0.415, 0.772, 0.398], [0.585, 0.228, 0.602], [0.283, 0.309, 0.126], [0.717, 0.691, 0.874], [0.783, 0.911, 0.524], [0.646, 0.460, 0.248], [0.500, 0.000, 0.000], [0.931, 0.349, 0.789], [0.069, 0.651, 0.211], [0.217, 0.089, 0.476], [0.354, 0.540, 0.752], [0.000, 0.000, 0.000]],
  "density_kg_m3": 6460,
  "dos_at_fermi_per_ev_atom": 0.3556,
  "dft_energy_ev_per_cell": -36.07,
  "ef_kj_per_mol_atoms": -27.6
}

***

{
  "formula": "LiBi2Pb",
  "functional": "PBE",
  "state": "optimized geometry",
  "cell": [[-0.697, -0.426, -4.577], [4.746, -1.448, -0.588], [-1.372, -4.760, 0.652]],
  "species": ["Bi", "Bi", "Li", "Pb"],
  "frac_coords": [[0.000, 0.000, 0.500], [0.000, 0.500, 0.000], [0.500, 0.000, 0.000], [0.500, 0.500, 0.500]],
  "density_kg_m3": 9042,
  "dos_at_fermi_per_ev_atom": 0.4993,
  "dft_energy_ev_per_cell": -13.91,
  "ef_kj_per_mol_atoms": -12.8
}

***

{
  "formula": "Li2BiPb2",
  "functional": "PBE",
  "state": "optimized geometry",
  "cell": [[7.379, 0.000, 0.000], [0.000, 7.379, 0.000], [0.000, 0.000, 4.616]],
  "species": ["Bi", "Bi", "Pb", "Pb", "Pb", "Pb", "Li", "Li", "Li", "Li"],
  "frac_coords": [[0.500, 0.500, 0.000], [0.000, 0.000, 0.000], [0.834, 0.334, 0.500], [0.334, 0.166, 0.500], [0.666, 0.834, 0.500], [0.166, 0.666, 0.500], [0.639, 0.139, 0.000], [0.139, 0.361, 0.000], [0.361, 0.861, 0.000], [0.861, 0.639, 0.000]],
  "relative_energy_ev_per_atom": 0.0162,
  "density_kg_m3": 8420,
  "dos_at_fermi_per_ev_atom": 0.4996,
  "dft_energy_ev_per_cell": -32.21,
  "ef_kj_per_mol_atoms": -18.9
}

***

{
  "formula": "LiBi4Pb7",
  "functional": "PBE",
  "state": "optimized geometry",
  "cell": [[-6.352, -0.235, 2.947], [2.091, -3.695, 4.227], [-0.825, 2.898, 11.995]],
  "species": ["Pb", "Pb", "Pb", "Pb", "Pb", "Pb", "Pb", "Li", "Bi", "Bi", "Bi", "Bi"],
  "frac_coords": [[0.024, 0.805, 0.338], [0.261, 0.702, 0.650], [0.739, 0.298, 0.350], [0.769, 0.510, 0.990], [0.500, 0.000, 0.000], [0.976, 0.195, 0.662], [0.231, 0.490, 0.010], [0.000, 0.000, 0.000], [0.722, 0.679, 0.676], [0.552, 0.847, 0.297], [0.448, 0.153, 0.703], [0.278, 0.321, 0.324]],
  "density_kg_m3": 10157,
  "dos_at_fermi_per_ev_atom": 0.4773,
  "dft_energy_ev_per_cell": -43.40,
  "ef_kj_per_mol_atoms": 0.0
}

***

{
  "formula": "Li2Bi2Pb",
  "functional": "PBE",
  "state": "optimized geometry",
  "cell": [[8.857, 0.000, 0.000], [0.000, 8.857, 0.000], [0.000, 0.000, 3.358]],
  "species": ["Pb", "Pb", "Bi", "Bi", "Bi", "Bi", "Li", "Li", "Li", "Li"],
  "frac_coords": [[0.500, 0.500, 0.000], [0.000, 0.000, 0.000], [0.845, 0.655, 0.000], [0.155, 0.345, 0.000], [0.345, 0.845, 0.000], [0.655, 0.155, 0.000], [0.363, 0.137, 0.500], [0.137, 0.637, 0.500], [0.863, 0.363, 0.500], [0.637, 0.863, 0.500]],
  "relative_energy_ev_per_atom": 0.0102,
  "density_kg_m3": 8055,
  "dos_at_fermi_per_ev_atom": 0.6802,
  "dft_energy_ev_per_cell": -33.01,
  "ef_kj_per_mol_atoms": -23.3
}

***

{
  "formula": "LiBiPb3",
  "functional": "PBE",
  "state": "optimized geometry",
  "cell": [[-1.189, -1.691, 5.719], [4.415, -4.170, -0.315], [4.009, 4.091, 2.043]],
  "species": ["Bi", "Pb", "Pb", "Pb", "Li"],
  "frac_coords": [[0.000, 0.000, 0.000], [0.500, 0.000, 0.000], [0.000, 0.500, 0.000], [0.000, 0.000, 0.500], [0.500, 0.500, 0.500]],
  "relative_energy_ev_per_atom": 0.6358,
  "density_kg_m3": 6184,
  "dos_at_fermi_per_ev_atom": 1.0026,
  "dft_energy_ev_per_cell": -14.20,
  "ef_kj_per_mol_atoms": 52.5
}

***

{
  "formula": "Li3Bi2Pb2",
  "functional": "PBE",
  "state": "optimized geometry",
  "cell": [[-4.078, 2.243, 1.525], [-1.708, -7.637, -1.199], [0.316, -2.444, 4.439]],
  "species": ["Bi", "Bi", "Li", "Li", "Li", "Pb", "Pb"],
  "frac_coords": [[0.627, 0.254, 0.871], [0.373, 0.746, 0.129], [0.248, 0.496, 0.755], [0.752, 0.504, 0.245], [0.000, 0.000, 0.000], [0.880, 0.761, 0.618], [0.120, 0.239, 0.382]],
  "relative_energy_ev_per_atom": 0.0000,
  "density_kg_m3": 8032,
  "dos_at_fermi_per_ev_atom": 0.3280,
  "dft_energy_ev_per_cell": -22.80,
  "ef_kj_per_mol_atoms": -25.9
}

***

{
  "formula": "Li3Bi3Pb",
  "functional": "PBE",
  "state": "optimized geometry",
  "cell": [[7.503, 0.000, 0.000], [0.000, 7.503, 0.000], [0.000, 0.000, 7.503]],
  "species": ["Bi", "Bi", "Bi", "Bi", "Bi", "Bi", "Li", "Li", "Li", "Li", "Li", "Li", "Pb", "Pb"],
  "frac_coords": [[0.500, 0.250, 0.000], [0.500, 0.750, 0.000], [0.250, 0.000, 0.500], [0.000, 0.500, 0.250], [0.750, 0.000, 0.500], [0.000, 0.500, 0.750], [0.250, 0.500, 0.000], [0.000, 0.250, 0.500], [0.500, 0.000, 0.250], [0.500, 0.000, 0.750], [0.000, 0.750, 0.500], [0.750, 0.500, 0.000], [0.000, 0.000, 0.000], [0.500, 0.500, 0.500]],
  "density_kg_m3": 6722,
  "dos_at_fermi_per_ev_atom": 0.9565,
  "dft_energy_ev_per_cell": -38.50,
  "ef_kj_per_mol_atoms": 25.4
}

***

{
  "formula": "LiBi2Pb",
  "functional": "PBE",
  "state": "optimized geometry",
  "cell": [[-3.897, 2.426, -0.490], [-1.881, 0.526, -4.183], [-5.337, -4.321, -0.691]],
  "species": ["Pb", "Bi", "Bi", "Li"],
  "frac_coords": [[0.500, 0.500, 0.500], [0.729, 0.729, 0.813], [0.271, 0.271, 0.187], [0.000, 0.000, 0.000]],
  "density_kg_m3": 8932,
  "dos_at_fermi_per_ev_atom": 0.6094,
  "dft_energy_ev_per_cell": -13.56,
  "ef_kj_per_mol_atoms": -4.4
}

***

{
  "formula": "Li4BiPb2",
  "functional": "PBE",
  "state": "optimized geometry",
  "cell": [[-2.917, 1.151, -1.557], [-2.373, 0.021, 4.462], [3.938, 8.883, -0.811]],
  "species": ["Pb", "Pb", "Li", "Li", "Li", "Li", "Bi"],
  "frac_coords": [[0.500, 0.797, 0.594], [0.500, 0.203, 0.406], [0.000, 0.925, 0.849], [0.500, 0.374, 0.748], [0.000, 0.075, 0.151], [0.500, 0.626, 0.252], [0.000, 0.500, 0.000]],
  "density_kg_m3": 6488,
  "dos_at_fermi_per_ev_atom": 0.2628,
  "dft_energy_ev_per_cell": -20.79,
  "ef_kj_per_mol_atoms": -25.4
}

***

{
  "formula": "LiBi2Pb",
  "functional": "PBE",
  "state": "optimized geometry",
  "cell": [[-4.385, 0.498, 1.724], [-2.069, -3.596, 2.288], [0.173, 1.015, 6.658]],
  "species": ["Li", "Bi", "Bi", "Pb"],
  "frac_coords": [[0.668, 0.668, 0.996], [0.063, 0.063, 0.810], [0.271, 0.271, 0.188], [0.498, 0.498, 0.505]],
  "density_kg_m3": 8770,
  "dos_at_fermi_per_ev_atom": 0.5949,
  "dft_energy_ev_per_cell": -13.70,
  "ef_kj_per_mol_atoms": -7.6
}

***

{
  "formula": "LiBi4Pb5",
  "functional": "PBE",
  "state": "optimized geometry",
  "cell": [[5.533, 0.000, 0.000], [0.000, 6.876, -2.569], [-2.767, -3.566, 10.442]],
  "species": ["Bi", "Bi", "Bi", "Bi", "Pb", "Pb", "Pb", "Pb", "Pb", "Li"],
  "frac_coords": [[0.021, 0.269, 0.042], [0.667, 0.078, 0.334], [0.333, 0.922, 0.666], [0.979, 0.731, 0.958], [0.167, 0.829, 0.334], [0.179, 0.348, 0.359], [0.500, 0.500, 0.000], [0.833, 0.171, 0.666], [0.821, 0.652, 0.641], [0.500, 0.000, 0.000]],
  "relative_energy_ev_per_atom": 0.0000,
  "density_kg_m3": 9001,
  "dos_at_fermi_per_ev_atom": 0.4048,
  "dft_energy_ev_per_cell": -36.07,
  "ef_kj_per_mol_atoms": -0.9
}

***

{
  "formula": "Li2BiPb2",
  "functional": "PBE",
  "state": "optimized geometry",
  "cell": [[-0.888, 3.400, -2.829], [1.614, -2.438, -3.436], [-5.555, -1.945, -4.191]],
  "species": ["Li", "Li", "Pb", "Pb", "Bi"],
  "frac_coords": [[0.750, 0.250, 0.500], [0.250, 0.750, 0.500], [0.388, 0.388, 0.225], [0.612, 0.612, 0.775], [0.000, 0.000, 0.000]],
  "relative_energy_ev_per_atom": 0.1891,
  "density_kg_m3": 8020,
  "dos_at_fermi_per_ev_atom": 0.3839,
  "dft_energy_ev_per_cell": -15.24,
  "ef_kj_per_mol_atoms": -2.2
}

***

{
  "formula": "Li4Bi5Pb",
  "functional": "PBE",
  "state": "optimized geometry",
  "cell": [[3.419, 0.000, 0.000], [0.000, 3.419, 0.000], [0.000, 0.000, 21.770]],
  "species": ["Li", "Li", "Li", "Li", "Pb", "Bi", "Bi", "Bi", "Bi", "Bi"],
  "frac_coords": [[0.000, 0.000, 0.219], [0.000, 0.000, 0.781], [0.000, 0.000, 0.594], [0.000, 0.000, 0.406], [0.000, 0.000, 0.000], [0.500, 0.500, 0.689], [0.500, 0.500, 0.125], [0.500, 0.500, 0.500], [0.500, 0.500, 0.311], [0.500, 0.500, 0.875]],
  "density_kg_m3": 8350,
  "dos_at_fermi_per_ev_atom": 0.2774,
  "dft_energy_ev_per_cell": -33.68,
  "ef_kj_per_mol_atoms": -28.1
}

***

{
  "formula": "LiBi4Pb5",
  "functional": "PBE",
  "state": "optimized geometry",
  "cell": [[-2.708, -3.064, 0.650], [6.583, -4.905, 4.310], [-6.254, 9.057, 3.448]],
  "species": ["Bi", "Bi", "Bi", "Bi", "Pb", "Pb", "Pb", "Pb", "Pb", "Li"],
  "frac_coords": [[0.333, 0.598, 0.666], [0.025, 0.267, 0.050], [0.975, 0.733, 0.950], [0.667, 0.402, 0.334], [0.174, 0.123, 0.348], [0.827, 0.255, 0.654], [0.500, 0.500, 0.000], [0.826, 0.877, 0.652], [0.173, 0.745, 0.346], [0.500, 0.000, 0.000]],
  "relative_energy_ev_per_atom": 0.0286,
  "density_kg_m3": 9677,
  "dos_at_fermi_per_ev_atom": 0.3812,
  "dft_energy_ev_per_cell": -35.79,
  "ef_kj_per_mol_atoms": 1.9
}

***

{
  "formula": "Li2Bi2Pb",
  "functional": "PBE",
  "state": "optimized geometry",
  "cell": [[8.773, 0.000, 0.000], [0.000, 8.773, 0.000], [0.000, 0.000, 3.338]],
  "species": ["Li", "Li", "Li", "Li", "Bi", "Bi", "Bi", "Bi", "Pb", "Pb"],
  "frac_coords": [[0.617, 0.117, 0.000], [0.383, 0.883, 0.000], [0.117, 0.383, 0.000], [0.883, 0.617, 0.000], [0.320, 0.180, 0.500], [0.680, 0.820, 0.500], [0.820, 0.320, 0.500], [0.180, 0.680, 0.500], [0.500, 0.500, 0.000], [0.000, 0.000, 0.000]],
  "relative_energy_ev_per_atom": 0.0000,
  "density_kg_m3": 8261,
  "dos_at_fermi_per_ev_atom": 0.3887,
  "dft_energy_ev_per_cell": -33.11,
  "ef_kj_per_mol_atoms": -24.3
}

***

{
  "formula": "LiBi2Pb3",
  "functional": "PBE",
  "state": "optimized geometry",
  "cell": [[4.438, 0.000, 0.000], [-2.219, 5.710, 0.127], [0.000, 0.182, 13.977]],
  "species": ["Pb", "Pb", "Pb", "Pb", "Pb", "Pb", "Bi", "Bi", "Bi", "Bi", "Li", "Li"],
  "frac_coords": [[0.355, 0.710, 0.952], [0.073, 0.145, 0.613], [0.225, 0.450, 0.244], [0.775, 0.550, 0.756], [0.927, 0.855, 0.387], [0.645, 0.290, 0.048], [0.077, 0.154, 0.866], [0.923, 0.846, 0.134], [0.357, 0.713, 0.579], [0.643, 0.287, 0.421], [0.485, 0.970, 0.755], [0.515, 0.030, 0.245]],
  "density_kg_m3": 9815,
  "dos_at_fermi_per_ev_atom": 0.5614,
  "dft_energy_ev_per_cell": -42.31,
  "ef_kj_per_mol_atoms": -5.7
}

***

{
  "formula": "LiBi2Pb6",
  "functional": "PBE",
  "state": "optimized geometry",
  "cell": [[9.625, -0.904, 1.732], [0.900, 7.320, 3.196], [-0.604, 0.506, 7.999]],
  "species": ["Li", "Li", "Pb", "Pb", "Pb", "Pb", "Pb", "Pb", "Pb", "Pb", "Pb", "Pb", "Pb", "Pb", "Bi", "Bi", "Bi", "Bi"],
  "frac_coords": [[0.250, 0.384, 0.616], [0.750, 0.616, 0.384], [0.120, 0.787, 0.406], [0.007, 0.556, 0.170], [0.507, 0.170, 0.556], [0.140, 0.978, 0.861], [0.493, 0.830, 0.444], [0.380, 0.594, 0.213], [0.860, 0.022, 0.139], [0.360, 0.139, 0.022], [0.880, 0.213, 0.594], [0.620, 0.406, 0.787], [0.640, 0.861, 0.978], [0.993, 0.444, 0.830], [0.698, 0.390, 0.179], [0.198, 0.179, 0.390], [0.302, 0.610, 0.821], [0.802, 0.821, 0.610]],
  "density_kg_m3": 9811,
  "dos_at_fermi_per_ev_atom": 0.5217,
  "dft_energy_ev_per_cell": -63.92,
  "ef_kj_per_mol_atoms": -0.4
}

***

{
  "formula": "LiBiPb3",
  "functional": "PBE",
  "state": "optimized geometry",
  "cell": [[-3.620, -3.809, -0.386], [0.862, -1.329, 5.025], [-3.731, 3.389, 1.536]],
  "species": ["Pb", "Pb", "Pb", "Bi", "Li"],
  "frac_coords": [[0.000, 0.000, 0.500], [0.500, 0.000, 0.000], [0.000, 0.500, 0.000], [0.500, 0.500, 0.500], [0.000, 0.000, 0.000]],
  "relative_energy_ev_per_atom": 0.2080,
  "density_kg_m3": 9508,
  "dos_at_fermi_per_ev_atom": 0.6172,
  "dft_energy_ev_per_cell": -16.34,
  "ef_kj_per_mol_atoms": 11.2
}

***

{
  "formula": "Li3Bi2Pb2",
  "functional": "PBE",
  "state": "optimized geometry",
  "cell": [[-4.125, -1.338, 1.720], [3.352, -4.821, -2.038], [2.344, 1.233, 6.580]],
  "species": ["Li", "Li", "Li", "Pb", "Pb", "Bi", "Bi"],
  "frac_coords": [[0.634, 0.269, 0.438], [0.500, 0.000, 0.000], [0.366, 0.731, 0.562], [0.118, 0.236, 0.724], [0.882, 0.764, 0.276], [0.844, 0.687, 0.804], [0.156, 0.313, 0.196]],
  "relative_energy_ev_per_atom": 0.0427,
  "density_kg_m3": 7744,
  "dos_at_fermi_per_ev_atom": 0.3627,
  "dft_energy_ev_per_cell": -22.50,
  "ef_kj_per_mol_atoms": -21.8
}